The following is a PBE-GGA calculation of crystalline CsNb3C at its relaxed geometry, from Alexandria via LeMat-Bulk.

Results
Space-group type: Pm-3m (221)
Formation energy in meV per atom: 1111
VASP energy in Ha/atom: -0.25529
Crystal system: cubic

```
data_CsNb3C
_cell_length_a 4.521
_cell_length_b 4.521
_cell_length_c 4.521
_cell_angle_alpha 90.00
_cell_angle_beta 90.00
_cell_angle_gamma 90.00
_symmetry_space_group_name_H-M 'P 1'
_symmetry_Int_Tables_number 1
_symmetry_space_group_name_Hall 'P 1'
loop_
_atom_site_label
_atom_site_type_symbol
_atom_site_fract_x
_atom_site_fract_y
_atom_site_fract_z
Cs1 Cs 0.500 0.500 0.500
Nb1 Nb 0.000 0.500 0.000
Nb2 Nb 0.000 0.000 0.500
Nb3 Nb 0.500 0.000 0.000
C1 C 0.000 0.000 0.000
```



The following is a PBE-GGA calculation of crystalline Cs3NbC at its relaxed geometry, from Alexandria via LeMat-Bulk.

Results
Space-group type: Pm-3m (221)
Formation energy in meV per atom: 1934
VASP energy in Ha/atom: -0.08955
Crystal system: cubic

```
data_Cs3NbC
_cell_length_a 6.104
_cell_length_b 6.104
_cell_length_c 6.104
_cell_angle_alpha 90.00
_cell_angle_beta 90.00
_cell_angle_gamma 90.00
_symmetry_space_group_name_H-M 'P 1'
_symmetry_Int_Tables_number 1
_symmetry_space_group_name_Hall 'P 1'
loop_
_atom_site_label
_atom_site_type_symbol
_atom_site_fract_x
_atom_site_fract_y
_atom_site_fract_z
Cs1 Cs 0.000 0.500 0.000
Cs2 Cs 0.000 0.000 0.500
Cs3 Cs 0.500 0.000 0.000
Nb1 Nb 0.500 0.500 0.500
C1 C 0.000 0.000 0.000
```



The following is a PBE-GGA calculation of crystalline CsNbC6 at its relaxed geometry, from Alexandria via LeMat-Bulk.

Results
Space-group type: Pm-3m (221)
Formation energy in meV per atom: 844
VASP energy in Ha/atom: -0.27339
Crystal system: cubic

```
data_CsNbC6
_cell_length_a 5.620
_cell_length_b 5.620
_cell_length_c 5.620
_cell_angle_alpha 90.00
_cell_angle_beta 90.00
_cell_angle_gamma 90.00
_symmetry_space_group_name_H-M 'P 1'
_symmetry_Int_Tables_number 1
_symmetry_space_group_name_Hall 'P 1'
loop_
_atom_site_label
_atom_site_type_symbol
_atom_site_fract_x
_atom_site_fract_y
_atom_site_fract_z
Cs1 Cs 0.500 0.500 0.500
Nb1 Nb 0.000 0.000 0.000
C1 C 0.612 0.000 0.000
C2 C 0.388 0.000 0.000
C3 C 0.000 0.612 0.000
C4 C 0.000 0.000 0.612
C5 C 0.000 0.388 0.000
C6 C 0.000 0.000 0.388
```



The following is a PBE-GGA calculation of crystalline CsNb3C at its relaxed geometry, from Alexandria via LeMat-Bulk.

Results
Space-group type: Pm-3m (221)
Formation energy in meV per atom: 3954
VASP energy in Ha/atom: -0.15079
Crystal system: cubic

```
data_CsNb3C
_cell_length_a 5.013
_cell_length_b 5.013
_cell_length_c 5.013
_cell_angle_alpha 90.00
_cell_angle_beta 90.00
_cell_angle_gamma 90.00
_symmetry_space_group_name_H-M 'P 1'
_symmetry_Int_Tables_number 1
_symmetry_space_group_name_Hall 'P 1'
loop_
_atom_site_label
_atom_site_type_symbol
_atom_site_fract_x
_atom_site_fract_y
_atom_site_fract_z
Cs1 Cs 0.000 0.000 0.000
Nb1 Nb 0.000 0.500 0.000
Nb2 Nb 0.000 0.000 0.500
Nb3 Nb 0.500 0.000 0.000
C1 C 0.500 0.500 0.500
```